1.
This record from the Alexandria database describes crystalline YMg6C at its relaxed geometry. The functional is PBE.

Lattice parameters (Å, degrees): 4.5681 7.2193 7.2193 45.65 90.00 90.00
Last column: nearest neighbours and their distance in Å.
Positions (direct):
Y 0.0000 0.0000 0.0000  6 Mg 3.11-3.12, 2 C 3.11
Mg 0.0000 0.0067 0.5033  1 C 2.36
Mg 0.0000 0.5033 0.0067  1 C 2.36
Mg 0.5000 0.1500 0.6242  2 C 2.65, 4 Mg 2.66-2.95
Mg 0.5000 0.1592 0.1592  6 Mg 2.91-2.96, 2 Y 3.12
Mg 0.5000 0.5985 0.5985  4 Mg 2.91-3.11
Mg 0.5000 0.6242 0.1500  2 C 2.65, 4 Mg 2.66-2.95
C 0.0000 0.3986 0.3986  6 Mg 2.36-2.65

Summary:
- formation energy (eV per atom) = 0.38
- V (Å³/atom) = 21.3
- relative energy among the computed polymorphs (meV/atom) = 35.3

=====

2.
This record from the Alexandria database describes crystalline Y2MgC at its relaxed geometry. The functional is PBE.

Lattice parameters (Å, degrees): 6.9413 6.9413 6.9413 136.91 81.52 114.65
Last column: nearest neighbours and their distance in Å.
Positions (direct):
Y 0.0036 0.5019 0.0017  2 C 2.33
Y 0.1019 0.2500 0.3519  3 C 2.32-2.55
Y 0.5002 0.0019 0.9983  2 C 2.33
Y 0.8981 0.7500 0.6481  3 C 2.32-2.55
Mg 0.4237 0.2523 0.6714  2 Mg 3.04, 1 Y 3.36
Mg 0.5810 0.7523 0.3286  2 Mg 3.04, 1 Y 3.36
C 0.1187 0.7502 0.8685  5 Y 2.32-2.55
C 0.8817 0.2502 0.1315  5 Y 2.32-2.55

Summary:
- formation energy (eV per atom) = -0.04
- V (Å³/atom) = 25.1

=====

3.
This record from the Alexandria database describes crystalline YMg6C at its relaxed geometry. The functional is PBE.

Lattice parameters (Å, degrees): 4.7332 7.3431 7.3431 49.82 90.00 90.00
Last column: nearest neighbours and their distance in Å.
Positions (direct):
Y 0.0000 0.0000 0.0000  2 C 2.39
Mg 0.0000 0.0349 0.5302  7 Mg 3.03-3.31, 1 Y 3.29
Mg 0.0000 0.5302 0.0349  7 Mg 3.03-3.31, 1 Y 3.29
Mg 0.0000 0.5744 0.5744  8 Mg 2.98-3.19, 2 Y 3.25
Mg 0.5000 0.3819 0.8979  1 C 2.15
Mg 0.5000 0.4134 0.4134  8 Mg 3.19-3.41, 2 C 3.43
Mg 0.5000 0.8979 0.3819  1 C 2.15
C 0.5000 0.0241 0.0241  2 Mg 2.15, 2 Y 2.39

Summary:
- formation energy (eV per atom) = 0.35
- V (Å³/atom) = 24.4
- relative energy among the computed polymorphs (meV/atom) = 0.0